## Pm8Pr6Mg (PBE)

Data for an optimized crystal structure of Pm8Pr6Mg.

a b c (Å): 9.5890 9.5890 6.5813
angles (deg): 90.00 90.00 120.00
Closest atoms and distances in Å follow each position.
Positions (direct):
Pm1 0.0386 0.7701 0.1812  1 Mg 3.20, 3 Pm 3.39-3.44, 2 Pr 3.41-3.58
Pm2 0.2299 0.2685 0.1812  1 Mg 3.20, 3 Pm 3.39-3.44, 2 Pr 3.41-3.58
Pm3 0.2685 0.0386 0.8188  1 Mg 3.20, 3 Pm 3.39-3.44, 2 Pr 3.41-3.58
Pm4 0.3333 0.6667 0.1403  3 Pm 3.44, 6 Pr 3.80-3.84
Pm5 0.6667 0.3333 0.8597  3 Pm 3.44, 6 Pr 3.80-3.84
Pm6 0.7315 0.9614 0.1812  1 Mg 3.20, 3 Pm 3.39-3.44, 2 Pr 3.41-3.58
Pm7 0.7701 0.7315 0.8188  1 Mg 3.20, 3 Pm 3.39-3.44, 2 Pr 3.41-3.58
Pm8 0.9614 0.2299 0.8188  1 Mg 3.20, 3 Pm 3.39-3.44, 2 Pr 3.41-3.58
Pr1 0.0901 0.6449 0.6742  1 Pr 3.34, 5 Pm 3.41-3.68
Pr2 0.3551 0.4451 0.6742  1 Pr 3.34, 5 Pm 3.41-3.68
Pr3 0.4451 0.0901 0.3258  1 Pr 3.34, 5 Pm 3.41-3.68
Pr4 0.5549 0.9099 0.6742  1 Pr 3.34, 5 Pm 3.41-3.68
Pr5 0.6449 0.5549 0.3258  1 Pr 3.34, 5 Pm 3.41-3.68
Pr6 0.9099 0.3551 0.3258  1 Pr 3.34, 5 Pm 3.41-3.68
Mg1 0.0000 0.0000 0.5000  6 Pm 3.20

Properties
Space-group type   P-3, No. 147
Formation enthalpy at 0 K   10.9 kJ/mol of atoms